VASP calculation (PBE) on AsRh3Cl after structural relaxation.

Unit cell a=4.4359 b=4.4359 c=4.4359 alpha=90.00 beta=90.00 gamma=90.00
Element x y z (fractional)
Rh (0.0000, 0.5000, 0.0000)
As (0.5000, 0.5000, 0.5000)
Rh (0.0000, 0.0000, 0.5000)
Rh (0.5000, 0.0000, 0.0000)
Cl (0.0000, 0.0000, 0.0000)

The symmetry is Pm-3m (221). For the density, the calculation gives 7.97 g/cm³. The calculation puts the raw formation energy at 0.80 eV per atom. The calculation puts the energy above the most stable polymorph in this dataset at 137.9 meV/atom. The total energy comes out at -4.91 eV per atom.